SrMnSi2 PBE optimized geometry; V = 17.5 Å³/atom; uncorrected formation energy = 2.08 eV/f.u.; total magnetization = 0.00 μB per atom; VASP energy = -4.9042 eV/atom
1.0
-4.598 -0.281 0.373
-2.703 2.388 -2.890
-2.450 -2.214 -3.233
Si Sr Mn
2 1 1
Cartesian
-2.438 -0.027 -1.437
-7.314 -0.080 -4.312
-4.876 -0.054 -2.875
0.000 0.000 0.000